[1]
Here is TbPrCO after structural relaxation from the Alexandria database. Energies are from PBE.

Cell lengths 3.2394, 3.3791, 12.2810 Å; angles 90.00, 90.00, 90.00 degrees
With the nearest neighbours (Å) after each atom.
Space group Imm2 (No. 44)
Asymmetric unit:
Tb 0.0000 0.0000 0.0000 [2 per cell]  2 O 2.51, 4 C 2.58
Pr 0.0000 0.5000 0.7494 [2 per cell]  2 C 2.59, 4 O 2.61
C 0.0000 0.0000 0.5891 [2 per cell]  4 Tb 2.58, 2 Pr 2.59
O 0.0000 0.5000 0.3434 [2 per cell]  2 Tb 2.51, 4 Pr 2.61

Summary:
DFT total energy = -7.006 eV/atom
uncorrected formation energy = -1.108 eV/atom

[2]
Here is PrTlC2O6 after structural relaxation from the Alexandria database. Energies are from PBE.

Cell lengths 8.9718, 9.8912, 7.3880 Å; angles 90.00, 111.80, 90.00 degrees
With the nearest neighbours (Å) after each atom.
Space group C2/c (No. 15)
Asymmetric unit:
Pr 0.0000 0.0991 0.2500 [4 per cell]  8 O 2.41-2.61
Tl 0.0000 0.3845 0.7500 [4 per cell]  6 O 2.91-3.08
C 0.2305 0.1215 0.7533 [8 per cell]  3 O 1.28-1.32
O 0.0894 0.1140 0.6089 [8 per cell]  1 C 1.32
O 0.1751 0.2789 0.2312 [8 per cell]  1 C 1.28
O 0.2346 0.4766 0.1205 [8 per cell]  1 C 1.30

Summary:
DFT total energy = -7.451 eV/atom
uncorrected formation energy = -1.917 eV/atom

[3]
Here is PrYCO after structural relaxation from the Alexandria database. Energies are from PBE.

Cell lengths 3.2333, 3.3809, 12.2542 Å; angles 90.00, 90.00, 90.00 degrees
With the nearest neighbours (Å) after each atom.
Space group Imm2 (No. 44)
Asymmetric unit:
Pr 0.0000 0.0000 0.0000 [2 per cell]  2 C 2.60, 4 O 2.61
Y 0.0000 0.5000 0.2514 [2 per cell]  2 O 2.52, 4 C 2.57
C 0.0000 0.5000 0.8391 [2 per cell]  4 Y 2.57, 2 Pr 2.60
O 0.0000 0.0000 0.5941 [2 per cell]  2 Y 2.52, 4 Pr 2.61

Summary:
DFT total energy = -7.467 eV/atom
uncorrected formation energy = -1.110 eV/atom

[4]
Here is PtC2O after structural relaxation from the Alexandria database. Energies are from PBE.

Cell lengths 4.6451, 4.6451, 8.1179 Å; angles 90.00, 90.00, 90.00 degrees
With the nearest neighbours (Å) after each atom.
Space group I-42d (No. 122)
Asymmetric unit:
Pt 0.0000 0.0000 0.0000 [4 per cell]  4 C 2.01
C 0.2213 0.2500 0.6250 [8 per cell]  2 O 1.85, 2 Pt 2.01
O 0.0000 0.0000 0.5000 [4 per cell]  4 C 1.85

Summary:
DFT total energy = -5.845 eV/atom
uncorrected formation energy = 1.517 eV/atom

[5]
Here is Pt3CO after structural relaxation from the Alexandria database. Energies are from PBE.

Cell lengths 4.1100, 4.1100, 4.1100 Å; angles 90.00, 90.00, 90.00 degrees
With the nearest neighbours (Å) after each atom.
Space group Pm-3m (No. 221)
Asymmetric unit:
Pt 0.0000 0.0000 0.5000 [3 per cell]  2 C 2.06
C 0.0000 0.0000 0.0000 [1 per cell]  6 Pt 2.06
O 0.5000 0.5000 0.5000 [1 per cell]  12 Pt 2.91

Summary:
DFT total energy = -5.580 eV/atom
uncorrected formation energy = 0.881 eV/atom
relative energy among the computed polymorphs = 0.0 meV/atom

[6]
Here is PtCO after structural relaxation from the Alexandria database. Energies are from PBE.

Cell lengths 2.9409, 2.8136, 10.4066 Å; angles 90.00, 90.04, 90.00 degrees
With the nearest neighbours (Å) after each atom.
Space group P2_1/m (No. 11)
Asymmetric unit:
Pt 0.2499 0.2500 0.1064 [2 per cell]  2 C 2.03
C 0.2505 0.7500 0.2474 [2 per cell]  1 O 1.17
O 0.2509 0.7500 0.3601 [2 per cell]  1 C 1.17

Summary:
DFT total energy = -7.161 eV/atom
uncorrected formation energy = -0.420 eV/atom

[7]
Here is RbPtC2O8 after structural relaxation from the Alexandria database. Energies are from PBE.

Cell lengths 7.6918, 4.9877, 8.3038 Å; angles 90.00, 96.44, 90.00 degrees
With the nearest neighbours (Å) after each atom.
Space group C2/m (No. 12)
Asymmetric unit:
Rb 0.0000 0.0000 0.0000 [2 per cell]  10 O 2.97-3.21
Pt 0.0000 0.0000 0.5000 [2 per cell]  6 O 1.99-2.01
C 0.1272 0.5000 0.3260 [4 per cell]  4 O 1.31-1.43
O 0.0147 0.2723 0.3239 [8 per cell]  1 C 1.43
O 0.1930 0.5000 0.1865 [4 per cell]  1 C 1.31
O 0.2397 0.5000 0.4723 [4 per cell]  1 C 1.41

Summary:
DFT total energy = -6.173 eV/atom
uncorrected formation energy = -0.746 eV/atom

[8]
Here is RbPtCO5 after structural relaxation from the Alexandria database. Energies are from PBE.

Cell lengths 7.8689, 9.9325, 6.8842 Å; angles 90.00, 103.51, 90.00 degrees
With the nearest neighbours (Å) after each atom.
Space group C2/c (No. 15)
Asymmetric unit:
Rb 0.0000 0.1290 0.2500 [4 per cell]  7 O 2.85-3.14
Pt 0.0000 0.5000 0.0000 [4 per cell]  4 O 1.91-1.98
C 0.0000 0.2526 0.7500 [4 per cell]  4 O 1.36-1.42
O 0.0000 0.4162 0.2500 [4 per cell]  2 Pt 1.91
O 0.0933 0.3316 0.6370 [8 per cell]  1 C 1.42
O 0.1086 0.1656 0.8706 [8 per cell]  1 C 1.36

Summary:
DFT total energy = -5.924 eV/atom
uncorrected formation energy = -0.796 eV/atom

[9]
Here is Rb2PtC2O6 after structural relaxation from the Alexandria database. Energies are from PBE.

Cell lengths 12.3133, 5.1023, 6.5517 Å; angles 90.00, 117.42, 90.00 degrees
With the nearest neighbours (Å) after each atom.
Space group C2/m (No. 12)
Asymmetric unit:
Rb 0.1939 0.0000 0.2091 [4 per cell]  7 O 2.90-3.03
Pt 0.0000 0.0000 0.5000 [2 per cell]  4 O 2.05
C 0.0025 0.5000 0.7208 [4 per cell]  3 O 1.25-1.34
O 0.0686 0.2825 0.7513 [8 per cell]  1 C 1.34
O 0.1080 0.5000 0.3244 [4 per cell]  1 C 1.25

Summary:
DFT total energy = -6.483 eV/atom
uncorrected formation energy = -1.376 eV/atom

[10]
Here is Re2PtC12O12 after structural relaxation from the Alexandria database. Energies are from PBE.

Cell lengths 6.8728, 7.6138, 10.5283 Å; angles 71.17, 84.08, 87.65 degrees
With the nearest neighbours (Å) after each atom.
Space group P-1 (No. 2)
Asymmetric unit:
Re 0.2101 0.1128 0.2343 [2 per cell]  5 C 1.93-2.01
Pt 0.0000 0.0000 0.5000 [1 per cell]  2 C 1.90
C 0.0280 0.7389 0.8306 [2 per cell]  1 O 1.16
C 0.0942 0.8938 0.2051 [2 per cell]  1 O 1.16
C 0.0989 0.7543 0.5316 [2 per cell]  1 O 1.16
C 0.3080 0.3217 0.2872 [2 per cell]  1 O 1.16
C 0.3548 0.1915 0.0580 [2 per cell]  1 O 1.17
C 0.4317 0.9533 0.3184 [2 per cell]  1 O 1.16
O 0.0270 0.7685 0.1858 [2 per cell]  1 C 1.16
O 0.1600 0.6046 0.5518 [2 per cell]  1 C 1.16
O 0.1662 0.6545 0.8700 [2 per cell]  1 C 1.16
O 0.3659 0.4417 0.3176 [2 per cell]  1 C 1.16
O 0.4379 0.1374 0.6348 [2 per cell]  1 C 1.16
O 0.4436 0.2375 0.9524 [2 per cell]  1 C 1.17

Summary:
DFT total energy = -8.124 eV/atom
uncorrected formation energy = -0.675 eV/atom

[11]
Here is RuPtC2O after structural relaxation from the Alexandria database. Energies are from PBE.

Cell lengths 3.9149, 3.9149, 4.1369 Å; angles 90.00, 90.00, 90.00 degrees
With the nearest neighbours (Å) after each atom.
Space group P4/mmm (No. 123)
Asymmetric unit:
Ru 0.0000 0.0000 0.0000 [1 per cell]  4 O 2.77, 8 C 2.85
Pt 0.5000 0.5000 0.5000 [1 per cell]  4 C 1.96, 2 O 2.07
C 0.0000 0.5000 0.5000 [2 per cell]  2 Pt 1.96
O 0.5000 0.5000 0.0000 [1 per cell]  2 Pt 2.07

Summary:
DFT total energy = -5.803 eV/atom
uncorrected formation energy = 1.942 eV/atom

[12]
Here is RuPt2CO after structural relaxation from the Alexandria database. Energies are from PBE.

Cell lengths 4.3257, 4.3257, 3.8305 Å; angles 90.00, 90.00, 90.00 degrees
With the nearest neighbours (Å) after each atom.
Space group P4/mmm (No. 123)
Asymmetric unit:
Ru 0.0000 0.0000 0.0000 [1 per cell]  2 O 1.92
Pt 0.0000 0.5000 0.5000 [2 per cell]  2 O 2.16
C 0.5000 0.5000 0.0000 [1 per cell]  8 Pt 2.89, 4 Ru 3.06
O 0.0000 0.0000 0.5000 [1 per cell]  2 Ru 1.92

Summary:
DFT total energy = -5.397 eV/atom
uncorrected formation energy = 1.711 eV/atom

[13]
Here is SbPtCO2 after structural relaxation from the Alexandria database. Energies are from PBE.

Cell lengths 3.9374, 3.9374, 4.0569 Å; angles 90.00, 90.00, 90.00 degrees
With the nearest neighbours (Å) after each atom.
Space group P4/mmm (No. 123)
Asymmetric unit:
Sb 0.0000 0.0000 0.0000 [1 per cell]  4 Pt 2.78, 8 O 2.83
Pt 0.5000 0.5000 0.0000 [1 per cell]  2 C 2.03
C 0.5000 0.5000 0.5000 [1 per cell]  4 O 1.97, 2 Pt 2.03
O 0.0000 0.5000 0.5000 [2 per cell]  2 C 1.97

Summary:
DFT total energy = -5.117 eV/atom
uncorrected formation energy = 0.744 eV/atom

[14]
Here is SbPtC2O after structural relaxation from the Alexandria database. Energies are from PBE.

Cell lengths 4.2698, 4.2698, 3.8412 Å; angles 90.00, 90.00, 90.00 degrees
With the nearest neighbours (Å) after each atom.
Space group P4/mmm (No. 123)
Asymmetric unit:
Sb 0.0000 0.0000 0.0000 [1 per cell]  2 O 1.92, 4 C 2.13
Pt 0.5000 0.5000 0.5000 [1 per cell]  8 C 2.87, 4 O 3.02
C 0.0000 0.5000 0.0000 [2 per cell]  2 Sb 2.13
O 0.0000 0.0000 0.5000 [1 per cell]  2 Sb 1.92

Summary:
DFT total energy = -4.824 eV/atom
uncorrected formation energy = 1.890 eV/atom

[15]
Here is SrPtC2O8 after structural relaxation from the Alexandria database. Energies are from PBE.

Cell lengths 7.6678, 4.9278, 7.4234 Å; angles 90.00, 94.77, 90.00 degrees
With the nearest neighbours (Å) after each atom.
Space group C2/m (No. 12)
Asymmetric unit:
Sr 0.0000 0.0000 0.0000 [2 per cell]  6 O 2.58-2.59
Pt 0.0000 0.0000 0.5000 [2 per cell]  6 O 1.98-2.00
C 0.1355 0.5000 0.2980 [4 per cell]  4 O 1.32-1.44
O 0.0217 0.2679 0.3007 [8 per cell]  1 C 1.44
O 0.2025 0.5000 0.1396 [4 per cell]  1 C 1.32
O 0.2420 0.5000 0.4604 [4 per cell]  1 C 1.40

Summary:
DFT total energy = -6.608 eV/atom
uncorrected formation energy = -1.121 eV/atom

[16]
Here is TiPt2CO after structural relaxation from the Alexandria database. Energies are from PBE.

Cell lengths 4.3059, 4.3059, 3.8330 Å; angles 90.00, 90.00, 90.00 degrees
With the nearest neighbours (Å) after each atom.
Space group P4/mmm (No. 123)
Asymmetric unit:
Ti 0.0000 0.0000 0.0000 [1 per cell]  2 O 1.92
Pt 0.0000 0.5000 0.5000 [2 per cell]  2 O 2.15
C 0.5000 0.5000 0.0000 [1 per cell]  8 Pt 2.88, 4 Ti 3.04
O 0.0000 0.0000 0.5000 [1 per cell]  2 Ti 1.92

Summary:
DFT total energy = -6.022 eV/atom
uncorrected formation energy = 0.810 eV/atom

[17]
Here is YPtC2O after structural relaxation from the Alexandria database. Energies are from PBE.

Cell lengths 4.5768, 4.5768, 4.1500 Å; angles 90.00, 90.00, 90.00 degrees
With the nearest neighbours (Å) after each atom.
Space group P4/mmm (No. 123)
Asymmetric unit:
Y 0.0000 0.0000 0.0000 [1 per cell]  2 O 2.08, 4 C 2.29
Pt 0.5000 0.5000 0.5000 [1 per cell]  8 C 3.09, 4 O 3.24
C 0.0000 0.5000 0.0000 [2 per cell]  2 Y 2.29
O 0.0000 0.0000 0.5000 [1 per cell]  2 Y 2.08

Summary:
DFT total energy = -5.365 eV/atom
uncorrected formation energy = 1.817 eV/atom

[18]
Here is Pu2CO after structural relaxation from the Alexandria database. Energies are from PBE.

Cell lengths 7.0324, 14.1692, 6.0935 Å; angles 90.00, 124.77, 90.00 degrees
With the nearest neighbours (Å) after each atom.
Space group C2/c (No. 15)
Asymmetric unit:
Pu 0.2493 0.1876 0.2499 [8 per cell]  3 C 2.49-2.50, 3 O 2.50-2.54
Pu 0.2504 0.0626 0.7502 [8 per cell]  3 O 2.45-2.50, 3 C 2.50
C 0.0000 0.1878 0.7500 [4 per cell]  6 Pu 2.49-2.50
C 0.0000 0.4369 0.7500 [4 per cell]  6 Pu 2.49-2.50
O 0.0000 0.0582 0.2500 [4 per cell]  6 Pu 2.46-2.54
O 0.0000 0.3167 0.2500 [4 per cell]  6 Pu 2.45-2.53

Summary:
DFT total energy = -11.992 eV/atom
uncorrected formation energy = -1.280 eV/atom
relative energy among the computed polymorphs = 0.0 meV/atom

[19]
Here is Pu2CO after structural relaxation from the Alexandria database. Energies are from PBE.

Cell lengths 3.5518, 3.5518, 17.1319 Å; angles 90.00, 90.00, 120.00 degrees
With the nearest neighbours (Å) after each atom.
Space group R-3m (No. 166, hexagonal axes)
Asymmetric unit:
Pu 0.0000 0.0000 0.2502 [6 per cell]  3 C 2.50, 3 O 2.50
C 0.0000 0.0000 0.0000 [3 per cell]  6 Pu 2.50
O 0.0000 0.0000 0.5000 [3 per cell]  6 Pu 2.50

Summary:
DFT total energy = -11.986 eV/atom
uncorrected formation energy = -1.274 eV/atom
relative energy among the computed polymorphs = 6.1 meV/atom

[20]
Here is PuC2O8 after structural relaxation from the Alexandria database. Energies are from PBE.

Cell lengths 5.2301, 6.2887, 6.2888 Å; angles 74.04, 88.38, 88.25 degrees
With the nearest neighbours (Å) after each atom.
Space group P-1 (No. 2)
Asymmetric unit:
Pu 0.0000 0.0000 0.0000 [1 per cell]  4 O 1.82
C 0.4320 0.2863 0.2865 [2 per cell]  2 O 1.17-1.18
O 0.2067 0.0958 0.7572 [2 per cell]  1 Pu 1.82
O 0.2075 0.7570 0.0957 [2 per cell]  1 Pu 1.82
O 0.2556 0.2164 0.2165 [2 per cell]  1 C 1.18
O 0.3941 0.6441 0.6438 [2 per cell]  1 C 1.17

Summary:
DFT total energy = -8.093 eV/atom
uncorrected formation energy = -1.507 eV/atom

[21]
Here is Pu2CO after structural relaxation from the Alexandria database. Energies are from PBE.

Cell lengths 3.4812, 3.4812, 18.1177 Å; angles 90.00, 90.00, 120.00 degrees
With the nearest neighbours (Å) after each atom.
Space group R3m (No. 160, hexagonal axes)
Asymmetric unit:
Pu 0.0000 0.0000 0.0000 [3 per cell]  3 C 2.48, 3 O 2.66
Pu 0.0000 0.0000 0.1736 [3 per cell]  3 O 2.45, 3 C 2.47
C 0.0000 0.0000 0.5862 [3 per cell]  6 Pu 2.47-2.48
O 0.0000 0.0000 0.7627 [3 per cell]  6 Pu 2.45-2.66

Summary:
DFT total energy = -11.886 eV/atom
uncorrected formation energy = -1.175 eV/atom
relative energy among the computed polymorphs = 105.8 meV/atom

[22]
Here is Pu2CO after structural relaxation from the Alexandria database. Energies are from PBE.

Cell lengths 3.5709, 4.9371, 7.0877 Å; angles 90.00, 90.00, 90.00 degrees
With the nearest neighbours (Å) after each atom.
Space group Pmmn (No. 59, origin choice 2)
Asymmetric unit:
Pu 0.2500 0.2500 0.1194 [2 per cell]  4 C 2.48-2.60, 2 O 2.49
Pu 0.2500 0.2500 0.6198 [2 per cell]  2 C 2.43, 4 O 2.47-2.54
C 0.2500 0.7500 0.1481 [2 per cell]  6 Pu 2.43-2.60
O 0.2500 0.7500 0.6356 [2 per cell]  6 Pu 2.47-2.54

Summary:
DFT total energy = -11.983 eV/atom
uncorrected formation energy = -1.272 eV/atom
relative energy among the computed polymorphs = 8.8 meV/atom

[23]
Here is RbPuC2O6 after structural relaxation from the Alexandria database. Energies are from PBE.

Cell lengths 8.8744, 9.8901, 7.3033 Å; angles 90.00, 110.92, 90.00 degrees
With the nearest neighbours (Å) after each atom.
Space group C2/c (No. 15)
Asymmetric unit:
Rb 0.0000 0.1182 0.2500 [4 per cell]  8 O 2.94-3.23, 2 C 3.27
Pu 0.0000 0.3985 0.7500 [4 per cell]  8 O 2.38-2.63
C 0.2268 0.3779 0.2487 [8 per cell]  3 O 1.28-1.32
O 0.0857 0.3835 0.1044 [8 per cell]  1 C 1.32
O 0.1776 0.2225 0.7342 [8 per cell]  1 C 1.28
O 0.2391 0.0237 0.6262 [8 per cell]  1 C 1.29

Summary:
DFT total energy = -8.312 eV/atom
uncorrected formation energy = -1.962 eV/atom